# Tb2PuO6 (PBE-GGA, relaxed)
data_Tb2PuO6
_chemical_formula_sum 'Tb4 Pu2 O12'
_space_group_name_H-M_alt 'P 1'
_space_group_IT_number 1
_space_group_name_Hall 'P 1'
_cell_length_a 5.108
_cell_length_b 5.108
_cell_length_c 10.425
_cell_angle_alpha 90.00
_cell_angle_beta 90.00
_cell_angle_gamma 90.00
loop_
_atom_site_label
_atom_site_type_symbol
_atom_site_fract_x
_atom_site_fract_y
_atom_site_fract_z
O1 O 0.316 0.316 0.346
O2 O 0.316 0.316 0.654
O3 O 0.184 0.816 0.154
O4 O 0.710 0.710 0.000
O5 O 0.684 0.684 0.654
O6 O 0.210 0.790 0.500
O7 O 0.290 0.290 0.000
O8 O 0.790 0.210 0.500
O9 O 0.184 0.816 0.846
O10 O 0.816 0.184 0.154
O11 O 0.684 0.684 0.346
O12 O 0.816 0.184 0.846
Tb1 Tb 0.000 0.000 0.666
Tb2 Tb 0.500 0.500 0.834
Tb3 Tb 0.000 0.000 0.334
Tb4 Tb 0.500 0.500 0.166
Pu1 Pu 0.500 0.500 0.500
Pu2 Pu 0.000 0.000 0.000
# Uncorrected energy = -9.04 eV/atom
# Formation energy from raw total energies = -3.111 eV per atom
# Space group = P4_2/mnm, No. 136